NaCaCr2Sb | PBE | relaxed

abc: 5.2441 5.2441 5.6150
angles: 90.00 90.00 90.00
Last column: nearest neighbours and their distance in Å.
Fractional coordinates of all 5 atoms:
Na1 0.0000 0.0000 0.0000  2 Sb 2.81
Ca1 0.5000 0.5000 0.0000  4 Na 3.71, 8 Cr 3.84
Cr1 0.0000 0.5000 0.5000  2 Sb 2.62
Cr2 0.5000 0.0000 0.5000  2 Sb 2.62
Sb1 0.0000 0.0000 0.5000  4 Cr 2.62, 2 Na 2.81

total magnetic moment	8.6	μB per formula unit
calculated density	3.1	g/cm³
N(E_F)	0.97	states/eV per atom
uncorrected formation energy	613	meV/atom

---

CeTmGa2Au2 | PBE | relaxed

abc: 4.5330 4.5330 7.2757
angles: 90.00 90.00 120.00
Last column: nearest neighbours and their distance in Å.
Fractional coordinates of all 6 atoms:
Ce1 0.0000 0.0000 0.0000  6 Ga 3.22, 6 Au 3.30
Tm1 0.0000 0.0000 0.5000  6 Au 3.08, 6 Ga 3.15
Ga1 0.3333 0.6667 0.2584  3 Au 2.62
Ga2 0.6667 0.3333 0.7416  3 Au 2.62
Au1 0.3333 0.6667 0.7226  3 Ga 2.62
Au2 0.6667 0.3333 0.2774  3 Ga 2.62

total magnetic moment	0.7	μB per formula unit
calculated density	10.8	g/cm³
N(E_F)	1.01	states/eV per atom
E_form	-4.43	eV per formula unit

---

Tb3HoIr3 | PBE | relaxed

abc: 5.9256 5.9256 5.9256
angles: 109.38 109.38 109.38
Last column: nearest neighbours and their distance in Å.
Fractional coordinates of all 7 atoms:
Tb1 0.0000 0.5000 0.5000  6 Ir 2.96-2.98
Tb2 0.5000 0.0000 0.5000  6 Ir 2.96-2.98
Tb3 0.5000 0.5000 0.0000  6 Ir 2.96-2.98
Ho1 0.0000 0.0000 0.0000  6 Ir 2.96
Ir1 0.0000 0.0000 0.5000  6 Tb 2.96-2.98, 2 Ho 2.96
Ir2 0.0000 0.5000 0.0000  2 Ho 2.96, 6 Tb 2.96-2.98
Ir3 0.5000 0.0000 0.0000  6 Tb 2.96-2.98, 2 Ho 2.96

total magnetic moment	0.0	μB per formula unit
calculated density	12.6	g/cm³
N(E_F)	0.84	states/eV per atom
polymorph energy (0 for the lowest one)	0	meV/atom
E_form	-5.02	eV per formula unit

---

LiCa6Hg | PBE | relaxed

abc: 10.2169 10.2169 10.2169
angles: 149.12 149.12 44.23
Last column: nearest neighbours and their distance in Å.
Fractional coordinates of all 8 atoms:
Li1 0.0000 0.0000 0.0000  8 Ca 3.31
Ca1 0.0995 0.5995 0.5000  2 Hg 3.31, 2 Li 3.31
Ca2 0.2485 0.2485 0.0000  12 Ca 3.85-3.96
Ca3 0.4005 0.9005 0.5000  2 Li 3.31, 2 Hg 3.31
Ca4 0.5995 0.0995 0.5000  2 Hg 3.31, 2 Li 3.31
Ca5 0.7515 0.7515 0.0000  12 Ca 3.85-3.96
Ca6 0.9005 0.4005 0.5000  2 Li 3.31, 2 Hg 3.31
Hg1 0.5000 0.5000 0.0000  8 Ca 3.31

total magnetic moment	0.0	μB per formula unit
calculated density	2.7	g/cm³
N(E_F)	1.14	states/eV per atom
polymorph energy (0 for the lowest one)	0	meV/atom
E_form	-1.14	eV per formula unit

---

Question: Which value of calculated density does entry 1 give?
Answer: 3.1 g/cm³

---

What did the third record say?
Tb3HoIr3 | PBE | relaxed

abc: 5.9256 5.9256 5.9256
angles: 109.38 109.38 109.38
Last column: nearest neighbours and their distance in Å.
Fractional coordinates of all 7 atoms:
Tb1 0.0000 0.5000 0.5000  6 Ir 2.96-2.98
Tb2 0.5000 0.0000 0.5000  6 Ir 2.96-2.98
Tb3 0.5000 0.5000 0.0000  6 Ir 2.96-2.98
Ho1 0.0000 0.0000 0.0000  6 Ir 2.96
Ir1 0.0000 0.0000 0.5000  6 Tb 2.96-2.98, 2 Ho 2.96
Ir2 0.0000 0.5000 0.0000  2 Ho 2.96, 6 Tb 2.96-2.98
Ir3 0.5000 0.0000 0.0000  6 Tb 2.96-2.98, 2 Ho 2.96

total magnetic moment	0.0	μB per formula unit
calculated density	12.6	g/cm³
N(E_F)	0.84	states/eV per atom
polymorph energy (0 for the lowest one)	0	meV/atom
E_form	-5.02	eV per formula unit